The following is a DFT calculation (PBE-GGA) of a relaxed structure of La6CuRh2Cl3.

Cell: 4.199 8.996 9.928 Å, 108.80 102.21 90.00°
Sites, in units of the cell vectors:
La 0.678 0.559 0.357
Rh 0.166 0.330 0.331
Cu 0.500 0.000 0.000
Cl 0.165 0.835 0.330
Rh 0.834 0.670 0.669
La 0.322 0.441 0.643
La 0.660 0.108 0.320
Cl 0.500 0.500 0.000
La 0.011 0.237 0.022
La 0.340 0.892 0.680
La 0.989 0.763 0.978
Cl 0.835 0.165 0.670

- raw total energy (hartree per atom) = -0.20612
- raw formation energy (kcal/mol of atoms) = -25.76
- M_tot (μB per cell) = 0.000


The following is a DFT calculation (PBE-GGA) of a relaxed structure of La6CuRu2Cl3.

Cell: 7.196 7.196 8.063 Å, 98.53 98.53 120.01°
Sites, in units of the cell vectors:
La 0.281 0.281 0.794
La 0.418 0.069 0.206
La 0.719 0.719 0.206
La 0.069 0.418 0.206
La 0.931 0.582 0.794
La 0.582 0.931 0.794
Ru 0.334 0.666 0.000
Ru 0.666 0.334 0.000
Cu 0.000 0.000 0.000
Cl 0.170 0.830 0.500
Cl 0.500 0.500 0.500
Cl 0.830 0.170 0.500

- raw total energy (hartree per atom) = -0.21390
- raw formation energy (kcal/mol of atoms) = -23.24
- M_tot (μB per cell) = 0.000


The following is a DFT calculation (PBE-GGA) of a relaxed structure of La6Cu2RuCl3.

Cell: 4.129 8.836 10.446 Å, 115.79 101.40 90.00°
Sites, in units of the cell vectors:
Cl 0.161 0.862 0.322
Cl 0.500 0.500 0.000
La 0.009 0.223 0.017
Ru 0.500 0.000 0.000
La 0.991 0.777 0.983
Cu 0.206 0.434 0.411
Cu 0.794 0.566 0.589
Cl 0.839 0.138 0.678
La 0.657 0.138 0.314
La 0.343 0.862 0.686
La 0.339 0.407 0.678
La 0.661 0.593 0.322

- raw total energy (hartree per atom) = -0.19478
- raw formation energy (kcal/mol of atoms) = -21.19
- M_tot (μB per cell) = 0.000


The following is a DFT calculation (PBE-GGA) of a relaxed structure of La8CuRu3Cl4.

Cell: 8.289 9.063 8.288 Å, 117.25 120.00 90.00°
Sites, in units of the cell vectors:
Cu 0.000 0.500 0.000
La 0.722 0.704 0.963
Cl 0.500 0.000 0.500
Ru 0.500 0.500 0.500
La 0.759 0.296 0.037
La 0.263 0.291 0.527
La 0.241 0.704 0.482
La 0.737 0.709 0.473
Ru 0.500 0.500 0.000
La 0.759 0.296 0.518
Cl 0.500 0.000 0.000
Cl 0.000 0.000 0.500
Ru 0.000 0.500 0.500
La 0.241 0.704 0.963
La 0.278 0.296 0.037
Cl 0.000 0.000 0.000

- raw total energy (hartree per atom) = -0.21785
- raw formation energy (kcal/mol of atoms) = -23.23
- M_tot (μB per cell) = 0.000


The following is a DFT calculation (PBE-GGA) of a relaxed structure of La4CuSCl2.

Cell: 4.179 7.366 7.288 Å, 70.44 90.00 90.00°
Sites, in units of the cell vectors:
Cl 0.500 0.000 0.500
La 0.500 0.733 0.264
La 0.000 0.264 0.248
S 0.000 0.500 0.500
La 0.000 0.736 0.752
Cu 0.500 0.500 0.000
Cl 0.000 0.000 0.000
La 0.500 0.267 0.736

- raw total energy (hartree per atom) = -0.19527
- raw formation energy (kcal/mol of atoms) = -31.37
- M_tot (μB per cell) = 0.000


The following is a DFT calculation (PBE-GGA) of a relaxed structure of La4CuSeCl2.

Cell: 4.225 7.174 7.592 Å, 70.30 90.00 90.00°
Sites, in units of the cell vectors:
La 0.000 0.258 0.239
La 0.500 0.249 0.755
La 0.500 0.751 0.245
Cu 0.500 0.500 0.000
Cl 0.500 0.000 0.500
Cl 0.000 0.000 0.000
La 0.000 0.742 0.761
Se 0.000 0.500 0.500

- raw total energy (hartree per atom) = -0.19058
- raw formation energy (kcal/mol of atoms) = -30.28
- M_tot (μB per cell) = 0.001